[1]
La4YHo15: relaxed, PBE-GGA.

ΔH_f (0 K) ... 0.032 eV per atom
DFT total energy ... -4.710 eV/atom

Cell: 5.0662 5.0662 25.1635 Å, 90.00 90.00 90.00°
Element x y z (fractional)
La (0.0000, 0.0000, 0.1006)
La (0.0000, 0.0000, 0.3003)
La (0.0000, 0.0000, 0.6997)
La (0.0000, 0.0000, 0.8994)
Y (0.0000, 0.0000, 0.5000)
Ho (0.0000, 0.5000, 0.0000)
Ho (0.0000, 0.5000, 0.2010)
Ho (0.0000, 0.5000, 0.4020)
Ho (0.0000, 0.5000, 0.5980)
Ho (0.0000, 0.5000, 0.7990)
Ho (0.5000, 0.0000, 0.0000)
Ho (0.5000, 0.0000, 0.2010)
Ho (0.5000, 0.0000, 0.4020)
Ho (0.5000, 0.0000, 0.5980)
Ho (0.5000, 0.0000, 0.7990)
Ho (0.5000, 0.5000, 0.1003)
Ho (0.5000, 0.5000, 0.3015)
Ho (0.5000, 0.5000, 0.5000)
Ho (0.5000, 0.5000, 0.6985)
Ho (0.5000, 0.5000, 0.8997)

[2]
La2Y2Ho15: relaxed, PBE-GGA.

ΔH_f (0 K) ... 0.278 eV per atom
DFT total energy ... -4.535 eV/atom

Cell: 8.7095 8.7095 8.7095 Å, 79.95 79.95 79.95°
Element x y z (fractional)
La (0.1174, 0.1174, 0.1174)
La (0.8826, 0.8826, 0.8826)
Y (0.3308, 0.3308, 0.3308)
Y (0.6692, 0.6692, 0.6692)
Ho (0.0000, 0.0000, 0.5000)
Ho (0.0000, 0.3056, 0.6944)
Ho (0.0000, 0.5000, 0.0000)
Ho (0.0000, 0.6944, 0.3056)
Ho (0.1544, 0.6309, 0.6309)
Ho (0.3056, 0.0000, 0.6944)
Ho (0.3056, 0.6944, 0.0000)
Ho (0.3691, 0.3691, 0.8456)
Ho (0.3691, 0.8456, 0.3691)
Ho (0.5000, 0.0000, 0.0000)
Ho (0.6309, 0.1544, 0.6309)
Ho (0.6309, 0.6309, 0.1544)
Ho (0.6944, 0.0000, 0.3056)
Ho (0.6944, 0.3056, 0.0000)
Ho (0.8456, 0.3691, 0.3691)

[3]
LaY12Ho6: relaxed, PBE-GGA.

ΔH_f (0 K) ... 0.026 eV per atom
Energy above the lowest structure with this stoichiometry ... 0.000 eV per atom
DFT total energy ... -5.761 eV/atom

Cell: 9.4361 9.4361 9.4361 Å, 110.92 110.92 110.92°
Element x y z (fractional)
La (0.0000, 0.0000, 0.0000)
Y (0.1070, 0.1600, 0.7363)
Y (0.1600, 0.7364, 0.1070)
Y (0.2110, 0.3179, 0.4768)
Y (0.2636, 0.8930, 0.8400)
Y (0.3179, 0.4768, 0.2110)
Y (0.4768, 0.2110, 0.3179)
Y (0.5232, 0.7890, 0.6821)
Y (0.6821, 0.5232, 0.7890)
Y (0.7363, 0.1070, 0.1600)
Y (0.7890, 0.6821, 0.5232)
Y (0.8400, 0.2636, 0.8930)
Y (0.8930, 0.8400, 0.2636)
Ho (0.0519, 0.5786, 0.3683)
Ho (0.3683, 0.0519, 0.5786)
Ho (0.4214, 0.6317, 0.9481)
Ho (0.5786, 0.3683, 0.0519)
Ho (0.6317, 0.9481, 0.4214)
Ho (0.9481, 0.4214, 0.6317)

[4]
La16Y6Ho7: relaxed, PBE-GGA.

ΔH_f (0 K) ... 0.183 eV per atom
DFT total energy ... -4.978 eV/atom

Cell: 11.4657 11.4657 11.4657 Å, 60.00 60.00 60.00°
Element x y z (fractional)
La (0.0515, 0.6495, 0.6495)
La (0.1248, 0.1248, 0.1248)
La (0.1248, 0.1248, 0.6255)
La (0.1248, 0.6255, 0.1248)
La (0.3505, 0.3505, 0.3505)
La (0.3505, 0.3505, 0.9485)
La (0.3505, 0.9485, 0.3505)
La (0.3745, 0.8752, 0.8752)
La (0.6255, 0.1248, 0.1248)
La (0.6495, 0.0515, 0.6495)
La (0.6495, 0.6495, 0.0515)
La (0.6495, 0.6495, 0.6495)
La (0.8752, 0.3745, 0.8752)
La (0.8752, 0.8752, 0.3745)
La (0.8752, 0.8752, 0.8752)
La (0.9485, 0.3505, 0.3505)
Y (0.2632, 0.2632, 0.7368)
Y (0.2632, 0.7368, 0.2632)
Y (0.2632, 0.7368, 0.7368)
Y (0.7368, 0.2632, 0.2632)
Y (0.7368, 0.2632, 0.7368)
Y (0.7368, 0.7368, 0.2632)
Ho (0.0000, 0.0000, 0.0000)
Ho (0.0000, 0.0000, 0.5000)
Ho (0.0000, 0.5000, 0.0000)
Ho (0.0000, 0.5000, 0.5000)
Ho (0.5000, 0.0000, 0.0000)
Ho (0.5000, 0.0000, 0.5000)
Ho (0.5000, 0.5000, 0.0000)

[5]
La7YHo4: relaxed, PBE-GGA.

ΔH_f (0 K) ... 0.013 eV per atom
Energy above the lowest structure with this stoichiometry ... 0.000 eV per atom
DFT total energy ... -4.925 eV/atom

Cell: 6.4029 7.3473 9.0954 Å, 89.93 76.37 89.97°
Element x y z (fractional)
La (0.0000, 0.0000, 0.0000)
La (0.2229, 0.9993, 0.3333)
La (0.2812, 0.7486, 0.6634)
La (0.5001, 0.2551, 0.9972)
La (0.4999, 0.7449, 0.0028)
La (0.7188, 0.2514, 0.3366)
La (0.7771, 0.0007, 0.6667)
Y (0.0000, 0.5000, 0.0000)
Ho (0.2164, 0.5003, 0.3351)
Ho (0.2769, 0.2580, 0.6671)
Ho (0.7231, 0.7420, 0.3329)
Ho (0.7836, 0.4997, 0.6649)

[6]
La3Y4Ho2: relaxed, PBE-GGA.

ΔH_f (0 K) ... 0.026 eV per atom
DFT total energy ... -5.507 eV/atom

Cell: 6.2817 6.2817 14.8856 Å, 110.50 110.50 33.52°
Element x y z (fractional)
La (0.0000, 0.0000, 0.0000)
La (0.1101, 0.1101, 0.4417)
La (0.8899, 0.8899, 0.5583)
Y (0.2217, 0.2217, 0.8887)
Y (0.3285, 0.3285, 0.3296)
Y (0.6715, 0.6715, 0.6704)
Y (0.7783, 0.7783, 0.1113)
Ho (0.4471, 0.4471, 0.7806)
Ho (0.5529, 0.5529, 0.2194)

[7]
La6YHo: relaxed, PBE-GGA.

ΔH_f (0 K) ... 0.007 eV per atom
DFT total energy ... -5.069 eV/atom

Cell: 5.2070 5.2070 10.4112 Å, 90.00 90.00 90.00°
Element x y z (fractional)
La (0.0000, 0.0000, 0.0000)
La (0.0000, 0.0000, 0.5000)
La (0.0000, 0.5000, 0.2488)
La (0.0000, 0.5000, 0.7512)
La (0.5000, 0.0000, 0.2488)
La (0.5000, 0.0000, 0.7512)
Y (0.5000, 0.5000, 0.5000)
Ho (0.5000, 0.5000, 0.0000)

[8]
La3Y2Ho2: relaxed, PBE-GGA.

ΔH_f (0 K) ... 0.026 eV per atom
Energy above the lowest structure with this stoichiometry ... 0.000 eV per atom
DFT total energy ... -5.241 eV/atom

Cell: 3.6504 6.3110 10.8122 Å, 84.52 90.00 73.19°
Element x y z (fractional)
La (0.0000, 0.0000, 0.0000)
La (0.1437, 0.7161, 0.5691)
La (0.8563, 0.2839, 0.4309)
Y (0.2846, 0.4308, 0.1411)
Y (0.7154, 0.5692, 0.8589)
Ho (0.4259, 0.1474, 0.7171)
Ho (0.5741, 0.8526, 0.2829)

Number 2 is which compound?
La2Y2Ho15

Which value of ΔH_f (0 K) does entry 7 give?
0.007 eV per atom